! K2TbMoO6 | the Alexandria database | PBE with a Hubbard U | relaxed; values from VASP
! magnetization = 2.1 Bohr magnetons per cell
! E = -6.36 eV/atom
! symmetry = R-3m, No. 166
&SYSTEM
  ibrav = 0, nat = 20, ntyp = 4
/
ATOMIC_SPECIES
K 39.10 K.upf
O 16.00 O.upf
Tb 158.93 Tb.upf
Mo 95.94 Mo.upf
CELL_PARAMETERS angstrom
-0.851 3.195 5.232
1.132 -2.663 5.471
9.695 3.410 3.154
ATOMIC_POSITIONS crystal
K 0.137 0.137 0.590
O 0.396 0.826 0.382
O 0.174 0.604 0.618
O 0.740 0.185 0.890
Tb 0.401 0.401 0.796
O 0.815 0.815 0.110
K 0.863 0.863 0.410
Mo 0.500 0.500 0.500
O 0.815 0.260 0.110
K 0.269 0.269 0.193
O 0.396 0.396 0.382
O 0.604 0.604 0.618
K 0.731 0.731 0.807
Tb 0.599 0.599 0.204
O 0.185 0.740 0.890
O 0.826 0.396 0.382
O 0.604 0.174 0.618
Mo 0.000 0.000 0.000
O 0.260 0.815 0.110
O 0.185 0.185 0.890



! K2TbMo3O12 | the Alexandria database | PBE with a Hubbard U | relaxed; values from VASP
! magnetization = 1.0 Bohr magnetons per cell
! E = -6.69 eV/atom
! symmetry = R-3m, No. 166
&SYSTEM
  ibrav = 0, nat = 18, ntyp = 4
/
ATOMIC_SPECIES
O 16.00 O.upf
K 39.10 K.upf
Mo 95.94 Mo.upf
Tb 158.93 Tb.upf
CELL_PARAMETERS angstrom
7.604 0.078 0.055
3.823 6.574 0.055
3.823 2.225 6.186
ATOMIC_POSITIONS crystal
O 0.936 0.298 0.298
O 0.920 0.920 0.359
O 0.064 0.702 0.702
K 0.655 0.655 0.655
Mo 0.000 0.500 0.000
O 0.080 0.641 0.080
Mo 0.000 0.000 0.500
O 0.702 0.702 0.064
O 0.920 0.359 0.920
O 0.359 0.920 0.920
O 0.702 0.064 0.702
O 0.080 0.080 0.641
Mo 0.500 0.000 0.000
O 0.298 0.936 0.298
K 0.345 0.345 0.345
Tb 0.000 0.000 0.000
O 0.298 0.298 0.936
O 0.641 0.080 0.080



! K3Tb2MoO6 | the Alexandria database | PBE with a Hubbard U | relaxed; values from VASP
! magnetization = 3.0 Bohr magnetons per cell
! E = -6.48 eV/atom
! symmetry = C2/m, No. 12
&SYSTEM
  ibrav = 0, nat = 12, ntyp = 4
/
ATOMIC_SPECIES
Tb 158.93 Tb.upf
O 16.00 O.upf
K 39.10 K.upf
Mo 95.94 Mo.upf
CELL_PARAMETERS angstrom
-3.441 -4.755 -0.975
4.199 1.492 -3.943
3.849 -2.500 4.647
ATOMIC_POSITIONS crystal
Tb 0.667 0.333 0.000
O 0.262 0.262 0.815
O 0.062 0.386 0.186
K 0.500 0.500 0.500
Mo 0.000 0.000 0.000
O 0.386 0.062 0.186
O 0.614 0.938 0.814
Tb 0.333 0.667 0.000
O 0.738 0.738 0.185
K 0.837 0.163 0.500
K 0.163 0.837 0.500
O 0.938 0.614 0.814



! K2TcMoO6 | the Alexandria database | PBE with a Hubbard U | relaxed; values from VASP
! magnetization = 0.0 Bohr magnetons per cell
! E = -6.61 eV/atom
! symmetry = P4/mmm, No. 123
&SYSTEM
  ibrav = 0, nat = 10, ntyp = 4
/
ATOMIC_SPECIES
K 39.10 K.upf
O 16.00 O.upf
Mo 95.94 Mo.upf
Tc 98.00 Tc.upf
CELL_PARAMETERS angstrom
-3.098 -2.298 0.834
1.889 -3.854 -3.606
2.914 -2.432 4.125
ATOMIC_POSITIONS crystal
K 0.145 0.000 0.500
K 0.145 0.500 0.000
O 0.645 0.748 0.748
O 0.645 0.252 0.252
O 0.145 0.500 0.500
O 0.645 0.748 0.252
O 0.145 0.000 0.000
Mo 0.645 0.500 0.500
O 0.645 0.252 0.748
Tc 0.645 0.000 0.000



Q: Look up the magnetization of the fourth one.
A: 0.0 Bohr magnetons per cell